[1]
A geometry-optimized BaTl2Cd structure, computed with GGA-PBEsol. Values from VASP.

The structure in Quantum ESPRESSO input format:
```
&SYSTEM
  ibrav = 0, nat = 4, ntyp = 3
/
ATOMIC_SPECIES
Ba 137.33 Ba.upf
Tl 204.38 Tl.upf
Cd 112.41 Cd.upf
ATOMIC_POSITIONS crystal
Ba 0.0000 0.0000 0.0000
Tl 0.2204 0.2204 0.2204
Tl 0.4537 0.4537 0.4537
Cd 0.8038 0.8038 0.8038
CELL_PARAMETERS angstrom
2.4762 1.4296 6.0807
-2.4762 1.4296 6.0807
0.0000 -2.8592 6.0807
```

***

[2]
! TaSbPb2 | the Alexandria database | GGA-PBEsol | optimized geometry; values from VASP
! formation energy without anion corrections: 404 meV/atom
&SYSTEM
  ibrav = 0, nat = 4, ntyp = 3
/
ATOMIC_SPECIES
Ta 180.95 Ta.upf
Sb 121.76 Sb.upf
Pb 207.20 Pb.upf
ATOMIC_POSITIONS crystal
Ta 0.0000 0.0000 0.0000
Sb 0.5000 0.5000 0.5000
Pb 0.2573 0.2573 0.2573
Pb 0.7427 0.7427 0.7427
CELL_PARAMETERS angstrom
1.6131 0.9313 10.7434
-1.6131 0.9313 10.7434
0.0000 -1.8626 10.7434

***

[3]
A geometry-optimized HfMgZn2Rh structure, computed with GGA-PBEsol. Values from VASP.

The structure in Quantum ESPRESSO input format:
```
&SYSTEM
  ibrav = 0, nat = 5, ntyp = 4
/
ATOMIC_SPECIES
Hf 178.49 Hf.upf
Mg 24.30 Mg.upf
Zn 65.41 Zn.upf
Rh 102.91 Rh.upf
ATOMIC_POSITIONS crystal
Hf 0.0000 0.0000 0.0000
Mg 0.5000 0.5000 0.0000
Zn 0.0000 0.5000 0.5000
Zn 0.5000 0.0000 0.5000
Rh 0.0000 0.0000 0.5000
CELL_PARAMETERS angstrom
4.7647 0.0000 0.0000
0.0000 4.7647 0.0000
0.0000 0.0000 4.7593
```

***

[4]
A geometry-optimized Rb3CaRu structure, computed with GGA-PBEsol. Values from VASP.

The structure in Quantum ESPRESSO input format:
```
&SYSTEM
  ibrav = 0, nat = 5, ntyp = 3
/
ATOMIC_SPECIES
Rb 85.47 Rb.upf
Ca 40.08 Ca.upf
Ru 101.07 Ru.upf
ATOMIC_POSITIONS crystal
Rb 0.0000 0.0000 0.5000
Rb 0.0000 0.5000 0.0000
Rb 0.5000 0.0000 0.0000
Ca 0.5000 0.5000 0.5000
Ru 0.0000 0.0000 0.0000
CELL_PARAMETERS angstrom
6.3163 0.0000 0.0000
0.0000 6.3163 0.0000
0.0000 0.0000 6.3163
```

***

[5]
A geometry-optimized In2ReAs structure, computed with GGA-PBEsol. Values from VASP.

The structure in Quantum ESPRESSO input format:
```
&SYSTEM
  ibrav = 0, nat = 4, ntyp = 3
/
ATOMIC_SPECIES
In 114.82 In.upf
Re 186.21 Re.upf
As 74.92 As.upf
ATOMIC_POSITIONS crystal
In 0.0000 0.0000 0.0000
In 0.5000 0.3164 0.3164
Re 0.0000 0.7237 0.7237
As 0.5000 0.5906 0.5906
CELL_PARAMETERS angstrom
4.2207 0.0000 0.0000
0.0000 1.7856 5.0683
0.0000 -1.7856 5.0683
```

***

[6]
! ReHgSbTe2 | the Alexandria database | GGA-PBEsol | optimized geometry; values from VASP
! formation energy without anion corrections: 1874 meV/atom
&SYSTEM
  ibrav = 0, nat = 5, ntyp = 4
/
ATOMIC_SPECIES
Re 186.21 Re.upf
Hg 200.59 Hg.upf
Sb 121.76 Sb.upf
Te 127.60 Te.upf
ATOMIC_POSITIONS crystal
Re 0.0000 0.0000 0.0000
Hg 0.5000 0.5000 0.5000
Sb 0.5000 0.5000 0.0000
Te 0.0000 0.5000 0.5000
Te 0.5000 0.0000 0.5000
CELL_PARAMETERS angstrom
5.4404 0.0000 0.0000
0.0000 5.4404 0.0000
0.0000 0.0000 5.3919

***

Number 1: total energy -9.65 eV per cell, calculated volume 129.2 Å³/cell, M_tot 0.0 μB/f.u.. Number 2: total energy -23.49 eV per cell, calculated volume 96.8 Å³/cell, M_tot 0.0 μB/f.u.. Number 3: total energy -22.63 eV per cell, calculated volume 108.0 Å³/cell, M_tot 0.0 μB/f.u.. Number 4: total energy -9.72 eV per cell, calculated volume 252.0 Å³/cell, M_tot 1.1 μB/f.u.. Number 5: total energy -23.37 eV per cell, calculated volume 76.4 Å³/cell, M_tot 0.0 μB/f.u.. Number 6: total energy -16.14 eV per cell, calculated volume 159.6 Å³/cell, M_tot 3.9 μB/f.u..